1.
Computed, not measured: a geometry-optimized PmCdBiAu structure at the GGA-PBE level of DFT.

a = 5.2770 Å, b = 5.2770 Å, c = 5.2770 Å
α = 60.00°, β = 60.00°, γ = 60.00°
Fractional positions:
Pm: 0.0000 0.0000 0.0000
Cd: 0.5000 0.5000 0.5000
Bi: 0.7500 0.7500 0.7500
Au: 0.2500 0.2500 0.2500

Magnetization, μB/f.u.: 0.00
VASP energy, eV/atom: -3.6095



2.
Computed, not measured: a geometry-optimized La6Os2Pt structure at the GGA-PBE level of DFT.

a = 7.1952 Å, b = 7.1952 Å, c = 6.7150 Å
α = 90.00°, β = 90.00°, γ = 120.00°
Fractional positions:
La: 0.0000 0.3393 0.2350
La: 0.0000 0.6607 0.7650
La: 0.3393 0.0000 0.2350
La: 0.3393 0.3393 0.7650
La: 0.6607 0.0000 0.7650
La: 0.6607 0.6607 0.2350
Os: 0.3333 0.6667 0.0000
Os: 0.6667 0.3333 0.0000
Pt: 0.0000 0.0000 0.5000

Magnetization, μB/f.u.: 0.00
VASP energy, eV/atom: -6.8268



3.
Computed, not measured: a geometry-optimized Pm3Y2Er6Pu structure at the GGA-PBE level of DFT.

a = 6.1439 Å, b = 6.1439 Å, c = 11.6747 Å
α = 95.04°, β = 95.04°, γ = 120.00°
Fractional positions:
Pm: 0.0000 0.0000 0.0000
Pm: 0.3327 0.6673 0.0000
Pm: 0.6673 0.3327 0.0000
Y: 0.1666 0.8334 0.5000
Y: 0.8334 0.1666 0.5000
Er: 0.0894 0.4178 0.2538
Er: 0.2535 0.2535 0.7464
Er: 0.4178 0.0894 0.2538
Er: 0.5822 0.9106 0.7462
Er: 0.7465 0.7465 0.2536
Er: 0.9106 0.5822 0.7462
Pu: 0.5000 0.5000 0.5000

Magnetization, μB/f.u.: 6.50
VASP energy, eV/atom: -5.6951



4.
Computed, not measured: a geometry-optimized Pm11Sm4Er9 structure at the GGA-PBE level of DFT.

a = 15.2803 Å, b = 15.2803 Å, c = 3.6915 Å
α = 90.00°, β = 90.00°, γ = 112.99°
Fractional positions:
Pm: 0.0000 0.0000 0.0000
Pm: 0.0445 0.4067 0.0000
Pm: 0.1598 0.8402 0.0000
Pm: 0.2901 0.2901 0.0000
Pm: 0.3667 0.6333 0.0000
Pm: 0.4067 0.0445 0.0000
Pm: 0.5933 0.9555 0.0000
Pm: 0.6333 0.3667 0.0000
Pm: 0.7099 0.7099 0.0000
Pm: 0.8402 0.1598 0.0000
Pm: 0.9555 0.5933 0.0000
Sm: 0.2439 0.4453 0.5000
Sm: 0.4453 0.2439 0.5000
Sm: 0.5547 0.7561 0.5000
Sm: 0.7561 0.5547 0.5000
Er: 0.0658 0.2120 0.5000
Er: 0.1638 0.6333 0.5000
Er: 0.2120 0.0658 0.5000
Er: 0.3667 0.8362 0.5000
Er: 0.5000 0.5000 0.5000
Er: 0.6333 0.1638 0.5000
Er: 0.7880 0.9342 0.5000
Er: 0.8362 0.3667 0.5000
Er: 0.9342 0.7880 0.5000

Magnetization, μB/f.u.: 0.00
VASP energy, eV/atom: -4.6156



5.
Computed, not measured: a geometry-optimized RbReW2 structure at the GGA-PBE level of DFT.

a = 9.3334 Å, b = 9.3334 Å, c = 9.3334 Å
α = 147.56°, β = 147.56°, γ = 46.54°
Fractional positions:
Rb: 0.0000 0.0000 0.0000
Rb: 0.7500 0.2500 0.5000
Re: 0.2500 0.7500 0.5000
Re: 0.5000 0.5000 0.0000
W: 0.3647 0.6250 0.2397
W: 0.3750 0.6147 0.7397
W: 0.3853 0.1250 0.7603
W: 0.8750 0.6353 0.2603

Distance to the lowest polymorph of the same formula, meV per atom: 191
Magnetization, μB/f.u.: 0.00
VASP energy, eV/atom: -7.7102



Q: What is the formula in the fifth record?
A: RbReW2



Q: Which value of VASP energy does entry 1 give?
A: -3.6095 eV/atom



Q: Which value of VASP energy does entry 2 give?
A: -6.8268 eV/atom



Q: The highest VASP energy belongs to which entry?
A: PmCdBiAu